Entry 1:
# Zr2BeTc PBE relaxed
# E_form, eV per atom: -0.056
# Spin magnetization, Bohr magnetons per cell: 0.00
data_Zr2BeTc
_cell_length_a 3.334
_cell_length_b 4.452
_cell_length_c 9.408
_cell_angle_alpha 90.00
_cell_angle_beta 90.00
_cell_angle_gamma 90.00
_symmetry_space_group_name_H-M 'I m m 2'
_symmetry_Int_Tables_number 44
_symmetry_space_group_name_Hall 'I 2 -2'
loop_
_atom_site_label
_atom_site_type_symbol
_atom_site_fract_x
_atom_site_fract_y
_atom_site_fract_z
Zr1 Zr 0.000 0.000 0.000
Zr2 Zr 0.000 0.500 0.229
Be1 Be 0.000 0.500 0.789
Tc1 Tc 0.000 0.000 0.479


Entry 2:
# BaCu2Cl PBE relaxed
# ΔE_f (raw), eV per atom: -0.47
# Spin magnetization, Bohr magnetons per cell: 0.00
# Energy relative to the lowest polymorph listed for this composition, eV/atom: 0.0777
data_BaCu2Cl
_cell_length_a 3.761
_cell_length_b 3.739
_cell_length_c 7.407
_cell_angle_alpha 90.00
_cell_angle_beta 104.27
_cell_angle_gamma 90.00
_symmetry_space_group_name_H-M 'P 1 m 1'
_symmetry_Int_Tables_number 6
_symmetry_space_group_name_Hall 'P -2y'
loop_
_atom_site_label
_atom_site_type_symbol
_atom_site_fract_x
_atom_site_fract_y
_atom_site_fract_z
Ba1 Ba 0.000 0.000 0.000
Cu1 Cu 0.180 0.500 0.370
Cu2 Cu 0.676 0.000 0.362
Cl1 Cl 0.395 0.500 0.784


Entry 3:
# TaIr2W PBE relaxed
# E_form, eV per atom: -0.402
# Spin magnetization, Bohr magnetons per cell: 0.00
# Energy relative to the lowest polymorph listed for this composition, eV/atom: 0.0558
data_TaIr2W
_cell_length_a 2.819
_cell_length_b 4.552
_cell_length_c 4.880
_cell_angle_alpha 90.00
_cell_angle_beta 90.00
_cell_angle_gamma 90.00
_symmetry_space_group_name_H-M 'P m m 2'
_symmetry_Int_Tables_number 25
_symmetry_space_group_name_Hall 'P 2 -2'
loop_
_atom_site_label
_atom_site_type_symbol
_atom_site_fract_x
_atom_site_fract_y
_atom_site_fract_z
Ta1 Ta 0.000 0.000 0.000
Ir1 Ir 0.500 0.000 0.500
Ir2 Ir 0.500 0.500 0.136
W1 W 0.000 0.500 0.636


Entry 4:
# PrDy2Ir PBE relaxed
# E_form, eV per atom: -0.196
# Spin magnetization, Bohr magnetons per cell: 0.00
# Energy relative to the lowest polymorph listed for this composition, eV/atom: 0.3317
data_PrDy2Ir
_cell_length_a 3.8215
_cell_length_b 3.8215
_cell_length_c 31.6690
_cell_angle_alpha 90.00
_cell_angle_beta 90.00
_cell_angle_gamma 120.00
_symmetry_space_group_name_H-M 'R -3 m'
_symmetry_Int_Tables_number 166
_symmetry_space_group_name_Hall '-R 3 2"'
loop_
_atom_site_label
_atom_site_type_symbol
_atom_site_fract_x
_atom_site_fract_y
_atom_site_fract_z
Pr1 Pr 0.0000 0.0000 0.0000
Dy1 Dy 0.0000 0.0000 0.1159
Ir1 Ir 0.0000 0.0000 0.5000


Entry 5:
# Pm7Se5S PBE relaxed
# ΔE_f (raw), eV per atom: -1.65
# Spin magnetization, Bohr magnetons per cell: 0.00
data_Pm7Se5S
_cell_length_a 4.054
_cell_length_b 24.981
_cell_length_c 7.130
_cell_angle_alpha 90.00
_cell_angle_beta 106.51
_cell_angle_gamma 90.00
_symmetry_space_group_name_H-M 'P 1 21 1'
_symmetry_Int_Tables_number 4
_symmetry_space_group_name_Hall 'P 2yb'
loop_
_atom_site_label
_atom_site_type_symbol
_atom_site_fract_x
_atom_site_fract_y
_atom_site_fract_z
Pm1 Pm 0.043 0.000 0.082
Pm2 Pm 0.123 0.716 0.250
Pm3 Pm 0.156 0.292 0.308
Pm4 Pm 0.283 0.933 0.575
Pm5 Pm 0.312 0.072 0.617
Pm6 Pm 0.396 0.633 0.797
Pm7 Pm 0.439 0.359 0.874
Se1 Se 0.043 0.606 0.092
Se2 Se 0.075 0.400 0.145
Se3 Se 0.204 0.825 0.412
Se4 Se 0.236 0.180 0.466
Se5 Se 0.479 0.749 0.963
S1 S 0.310 0.523 0.626


Entry 6:
# BaBeRu2 PBE relaxed
# E_form, eV per atom: 0.435
# Spin magnetization, Bohr magnetons per cell: 0.00
data_BaBeRu2
_cell_length_a 3.100
_cell_length_b 4.115
_cell_length_c 6.407
_cell_angle_alpha 90.00
_cell_angle_beta 102.28
_cell_angle_gamma 90.00
_symmetry_space_group_name_H-M 'P 1 m 1'
_symmetry_Int_Tables_number 6
_symmetry_space_group_name_Hall 'P -2y'
loop_
_atom_site_label
_atom_site_type_symbol
_atom_site_fract_x
_atom_site_fract_y
_atom_site_fract_z
Ba1 Ba 0.000 0.000 0.000
Be1 Be 0.654 0.500 0.330
Ru1 Ru 0.270 0.500 0.596
Ru2 Ru 0.684 0.000 0.486


Entry 7:
# TiAlBr2 PBE relaxed
# ΔE_f (raw), eV per atom: -0.23
# Spin magnetization, Bohr magnetons per cell: 6.00
# Energy relative to the lowest polymorph listed for this composition, eV/atom: 0.1915
data_TiAlBr2
_cell_length_a 9.222
_cell_length_b 9.222
_cell_length_c 5.563
_cell_angle_alpha 90.00
_cell_angle_beta 90.00
_cell_angle_gamma 90.00
_symmetry_space_group_name_H-M 'I -4 2 d'
_symmetry_Int_Tables_number 122
_symmetry_space_group_name_Hall 'I -4 2bw'
loop_
_atom_site_label
_atom_site_type_symbol
_atom_site_fract_x
_atom_site_fract_y
_atom_site_fract_z
Ti1 Ti 0.000 0.000 0.000
Al1 Al 0.000 0.000 0.500
Br1 Br 0.105 0.750 0.125


Entry 8:
# SrAuS3 PBE relaxed
# ΔE_f (raw), eV per atom: -0.76
# Spin magnetization, Bohr magnetons per cell: 0.00
# Energy relative to the lowest polymorph listed for this composition, eV/atom: 0.0000
data_SrAuS3
_cell_length_a 5.170
_cell_length_b 5.613
_cell_length_c 9.243
_cell_angle_alpha 90.00
_cell_angle_beta 104.54
_cell_angle_gamma 90.00
_symmetry_space_group_name_H-M 'P 1 21 1'
_symmetry_Int_Tables_number 4
_symmetry_space_group_name_Hall 'P 2yb'
loop_
_atom_site_label
_atom_site_type_symbol
_atom_site_fract_x
_atom_site_fract_y
_atom_site_fract_z
Sr1 Sr 0.075 0.000 0.301
Au1 Au 0.493 0.444 0.131
S1 S 0.071 0.500 0.384
S2 S 0.465 0.418 0.381
S3 S 0.497 0.942 0.122